# 1
A geometry-optimized LaTaGa2P structure. Source: the Alexandria database, functional PBE.

Structure (CIF):
```
data_LaTaGa2P
_chemical_formula_sum 'La1 Ta1 Ga2 P1'
_symmetry_space_group_name_H-M 'P 4/m m m'
_symmetry_Int_Tables_number 123
_symmetry_space_group_name_Hall '-P 4 2'
_cell_length_a 5.022
_cell_length_b 5.022
_cell_length_c 4.775
_cell_angle_alpha 90.00
_cell_angle_beta 90.00
_cell_angle_gamma 90.00
loop_
_atom_site_label
_atom_site_type_symbol
_atom_site_fract_x
_atom_site_fract_y
_atom_site_fract_z
La1 La 0.000 0.000 0.000
Ta1 Ta 0.500 0.500 0.000
Ga1 Ga 0.000 0.500 0.500
P1 P 0.500 0.500 0.500
```

Results
**ΔE_f**: 0.17 eV/atom
**DOS at the Fermi energy**: 0.895 states/eV/atom
**ΔE to the lowest computed polymorph**: 0 meV/atom



# 2
A geometry-optimized LaGa2Tc2P structure. Source: the Alexandria database, functional PBE.

Structure (CIF):
```
data_LaGa2Tc2P
_chemical_formula_sum 'La1 Ga2 Tc2 P1'
_symmetry_space_group_name_H-M 'P 4/m m m'
_symmetry_Int_Tables_number 123
_symmetry_space_group_name_Hall '-P 4 2'
_cell_length_a 4.466
_cell_length_b 4.466
_cell_length_c 5.756
_cell_angle_alpha 90.00
_cell_angle_beta 90.00
_cell_angle_gamma 90.00
loop_
_atom_site_label
_atom_site_type_symbol
_atom_site_fract_x
_atom_site_fract_y
_atom_site_fract_z
La1 La 0.000 0.000 0.000
Ga1 Ga 0.500 0.500 0.231
Tc1 Tc 0.000 0.500 0.500
P1 P 0.000 0.000 0.500
```

Results
**ΔE_f**: -0.53 eV/atom
**DOS at the Fermi energy**: 0.308 states/eV/atom



# 3
A geometry-optimized LaPaGa2 structure. Source: the Alexandria database, functional PBE.

Structure (CIF):
```
data_LaPaGa2
_chemical_formula_sum 'La1 Pa1 Ga2'
_symmetry_space_group_name_H-M 'P 4/m m m'
_symmetry_Int_Tables_number 123
_symmetry_space_group_name_Hall '-P 4 2'
_cell_length_a 4.737
_cell_length_b 4.737
_cell_length_c 4.205
_cell_angle_alpha 90.00
_cell_angle_beta 90.00
_cell_angle_gamma 90.00
loop_
_atom_site_label
_atom_site_type_symbol
_atom_site_fract_x
_atom_site_fract_y
_atom_site_fract_z
La1 La 0.000 0.000 0.000
Pa1 Pa 0.500 0.500 0.000
Ga1 Ga 0.000 0.500 0.500
```

Results
**ΔE_f**: -0.29 eV/atom
**DOS at the Fermi energy**: 1.222 states/eV/atom
**ΔE to the lowest computed polymorph**: 71 meV/atom



# 4
A geometry-optimized LaPa2Ga structure. Source: the Alexandria database, functional PBE.

Structure (CIF):
```
data_LaPa2Ga
_chemical_formula_sum 'La3 Pa6 Ga3'
_symmetry_space_group_name_H-M 'R -3 m'
_symmetry_Int_Tables_number 166
_symmetry_space_group_name_Hall '-R 3 2"'
_cell_length_a 3.1676
_cell_length_b 3.1676
_cell_length_c 34.5861
_cell_angle_alpha 90.00
_cell_angle_beta 90.00
_cell_angle_gamma 120.00
loop_
_atom_site_label
_atom_site_type_symbol
_atom_site_fract_x
_atom_site_fract_y
_atom_site_fract_z
La1 La 0.0000 0.0000 0.0000
Pa1 Pa 0.0000 0.0000 0.0932
Ga1 Ga 0.0000 0.0000 0.5000
```

Results
**ΔE_f**: 0.13 eV/atom
**DOS at the Fermi energy**: 1.508 states/eV/atom
**ΔE to the lowest computed polymorph**: 107 meV/atom



# 5
A geometry-optimized LaPaGa4 structure. Source: the Alexandria database, functional PBE.

Structure (CIF):
```
data_LaPaGa4
_chemical_formula_sum 'La4 Pa4 Ga16'
_symmetry_space_group_name_H-M 'F -4 3 m'
_symmetry_Int_Tables_number 216
_symmetry_space_group_name_Hall 'F -4 2 3'
_cell_length_a 7.929
_cell_length_b 7.929
_cell_length_c 7.929
_cell_angle_alpha 90.00
_cell_angle_beta 90.00
_cell_angle_gamma 90.00
loop_
_atom_site_label
_atom_site_type_symbol
_atom_site_fract_x
_atom_site_fract_y
_atom_site_fract_z
La1 La 0.000 0.000 0.000
Pa1 Pa 0.250 0.250 0.250
Ga1 Ga 0.124 0.124 0.624
```

Results
**ΔE_f**: -0.37 eV/atom
**DOS at the Fermi energy**: 1.135 states/eV/atom
**ΔE to the lowest computed polymorph**: 128 meV/atom



# 6
A geometry-optimized LaPaGa structure. Source: the Alexandria database, functional PBE.

Structure (CIF):
```
data_LaPaGa
_chemical_formula_sum 'La1 Pa1 Ga1'
_symmetry_space_group_name_H-M 'P -6 m 2'
_symmetry_Int_Tables_number 187
_symmetry_space_group_name_Hall 'P -6 2'
_cell_length_a 5.1865
_cell_length_b 5.1865
_cell_length_c 3.0302
_cell_angle_alpha 90.00
_cell_angle_beta 90.00
_cell_angle_gamma 120.00
loop_
_atom_site_label
_atom_site_type_symbol
_atom_site_fract_x
_atom_site_fract_y
_atom_site_fract_z
La1 La 0.0000 0.0000 0.0000
Pa1 Pa 0.3333 0.6667 0.0000
Ga1 Ga 0.6667 0.3333 0.5000
```

Results
**ΔE_f**: 0.05 eV/atom
**DOS at the Fermi energy**: 1.201 states/eV/atom
**ΔE to the lowest computed polymorph**: 115 meV/atom